DFT (PBE-GGA) results for an optimized crystal structure of Tb2Er3Tm2.

Unit cell a=3.506 b=10.541 c=6.072 alpha=95.59 beta=73.28 gamma=89.96
Positions (direct):
Er1 0.143 0.429 0.715
Er2 0.000 0.000 0.000
Er3 0.857 0.571 0.285
Tb1 0.285 0.856 0.429
Tb2 0.715 0.144 0.571
Tm1 0.571 0.713 0.858
Tm2 0.429 0.287 0.142

Computed properties:
symmetry = C2/m (12)
E_tot = -4.533 eV/atom